Record 1
A plane-wave DFT calculation with PBE was carried out for a relaxed BSb2Te2 crystal.

Geometry as CIF:
```
data_BSb2Te2
_space_group_name_H-M_alt 'P 4/m b m'
_space_group_IT_number 127
_space_group_name_Hall '-P 4 2ab'
_cell_length_a 6.4687
_cell_length_b 6.4687
_cell_length_c 6.3952
_cell_angle_alpha 90.00
_cell_angle_beta 90.00
_cell_angle_gamma 90.00
loop_
_atom_site_label
_atom_site_type_symbol
_atom_site_fract_x
_atom_site_fract_y
_atom_site_fract_z
B1 B 0.0000 0.0000 0.0000
Sb1 Sb 0.1723 0.3277 0.0000
Te1 Te 0.2282 0.2718 0.5000
```

The calculation puts the electronic total energy at -3.625 eV per atom. The value obtained for the volume is 267.6 Å³/cell. Its uncorrected formation energy is 0.62 eV/atom. Its total moment is 0.00 μB per cell.

Record 2
A plane-wave DFT calculation with PBE was carried out for a relaxed SrTcRh2 crystal.

Geometry as CIF:
```
data_SrTcRh2
_space_group_name_H-M_alt 'R 3 m'
_space_group_IT_number 160
_space_group_name_Hall 'R 3 -2"'
_cell_length_a 2.8943
_cell_length_b 2.8943
_cell_length_c 29.0135
_cell_angle_alpha 90.00
_cell_angle_beta 90.00
_cell_angle_gamma 120.00
loop_
_atom_site_label
_atom_site_type_symbol
_atom_site_fract_x
_atom_site_fract_y
_atom_site_fract_z
Sr1 Sr 0.0000 0.0000 0.0000
Tc1 Tc 0.0000 0.0000 0.2344
Rh1 Rh 0.0000 0.0000 0.4987
Rh2 Rh 0.0000 0.0000 0.7546
```

The calculation puts the electronic total energy at -6.036 eV per atom. The value obtained for the volume is 210.5 Å³/cell. Its total moment is 1.67 μB per cell.

Record 3
A plane-wave DFT calculation with PBE was carried out for a relaxed V4PdPt7 crystal.

Geometry as CIF:
```
data_V4PdPt7
_space_group_name_H-M_alt 'C 1 2/m 1'
_space_group_IT_number 12
_space_group_name_Hall '-C 2y'
_cell_length_a 10.5872
_cell_length_b 4.7603
_cell_length_c 9.1506
_cell_angle_alpha 90.00
_cell_angle_beta 121.63
_cell_angle_gamma 90.00
loop_
_atom_site_label
_atom_site_type_symbol
_atom_site_fract_x
_atom_site_fract_y
_atom_site_fract_z
V1 V 0.0758 0.0000 0.2734
V2 V 0.2376 0.0000 0.8257
Pd1 Pd 0.0000 0.5000 0.5000
Pt1 Pt 0.0000 0.0000 0.5000
Pt2 Pt 0.0752 0.5000 0.8451
Pt3 Pt 0.1414 0.0000 0.0501
Pt4 Pt 0.2116 0.5000 0.4044
```

The calculation puts the electronic total energy at -7.121 eV per atom. The value obtained for the volume is 392.7 Å³/cell. Its total moment is 0.00 μB per cell.

Record 4
A plane-wave DFT calculation with PBE was carried out for a relaxed MnCoReCSBr crystal.

Geometry as CIF:
```
data_MnCoReCSBr
_space_group_name_H-M_alt 'C 1 m 1'
_space_group_IT_number 8
_space_group_name_Hall 'C -2y'
_cell_length_a 8.6858
_cell_length_b 2.9971
_cell_length_c 9.1409
_cell_angle_alpha 90.00
_cell_angle_beta 106.16
_cell_angle_gamma 90.00
loop_
_atom_site_label
_atom_site_type_symbol
_atom_site_fract_x
_atom_site_fract_y
_atom_site_fract_z
Mn1 Mn 0.0000 0.0000 0.0000
Co1 Co 0.3953 0.0000 0.7225
Re1 Re 0.1894 0.5000 0.8246
C1 C 0.3444 0.0000 0.9156
S1 S 0.0252 0.0000 0.6236
Br1 Br 0.1342 0.5000 0.2152
```

The calculation puts the electronic total energy at -7.174 eV per atom. The value obtained for the volume is 228.6 Å³/cell. Its uncorrected formation energy is 0.12 eV/atom. Its total moment is 6.99 μB per cell.

Record 5
A plane-wave DFT calculation with PBE was carried out for a relaxed ZrScHg2 crystal.

Geometry as CIF:
```
data_ZrScHg2
_space_group_name_H-M_alt 'I -4 2 d'
_space_group_IT_number 122
_space_group_name_Hall 'I -4 2bw'
_cell_length_a 7.6939
_cell_length_b 7.6939
_cell_length_c 6.5355
_cell_angle_alpha 90.00
_cell_angle_beta 90.00
_cell_angle_gamma 90.00
loop_
_atom_site_label
_atom_site_type_symbol
_atom_site_fract_x
_atom_site_fract_y
_atom_site_fract_z
Zr1 Zr 0.0000 0.0000 0.0000
Sc1 Sc 0.0000 0.0000 0.5000
Hg1 Hg 0.2464 0.2500 0.6250
```

The calculation puts the electronic total energy at -3.798 eV per atom. The value obtained for the volume is 386.9 Å³/cell. Its total moment is 0.00 μB per cell.

Record 6
A plane-wave DFT calculation with PBE was carried out for a relaxed PmEr2Ni3 crystal.

Geometry as CIF:
```
data_PmEr2Ni3
_space_group_name_H-M_alt 'P 4/m m m'
_space_group_IT_number 123
_space_group_name_Hall '-P 4 2'
_cell_length_a 3.3796
_cell_length_b 3.3796
_cell_length_c 10.1767
_cell_angle_alpha 90.00
_cell_angle_beta 90.00
_cell_angle_gamma 90.00
loop_
_atom_site_label
_atom_site_type_symbol
_atom_site_fract_x
_atom_site_fract_y
_atom_site_fract_z
Pm1 Pm 0.0000 0.0000 0.0000
Er1 Er 0.0000 0.0000 0.3374
Ni1 Ni 0.5000 0.5000 0.1798
Ni2 Ni 0.5000 0.5000 0.5000
```

The calculation puts the electronic total energy at -5.574 eV per atom. The value obtained for the volume is 116.2 Å³/cell. Its total moment is 0.00 μB per cell.

Record 7
A plane-wave DFT calculation with PBE was carried out for a relaxed HfMnCoCu crystal.

Geometry as CIF:
```
data_HfMnCoCu
_space_group_name_H-M_alt 'F -4 3 m'
_space_group_IT_number 216
_space_group_name_Hall 'F -4 2 3'
_cell_length_a 6.1370
_cell_length_b 6.1370
_cell_length_c 6.1370
_cell_angle_alpha 90.00
_cell_angle_beta 90.00
_cell_angle_gamma 90.00
loop_
_atom_site_label
_atom_site_type_symbol
_atom_site_fract_x
_atom_site_fract_y
_atom_site_fract_z
Hf1 Hf 0.0000 0.0000 0.0000
Mn1 Mn 0.0000 0.0000 0.5000
Co1 Co 0.2500 0.2500 0.7500
Cu1 Cu 0.2500 0.2500 0.2500
```

The calculation puts the electronic total energy at -7.683 eV per atom. The value obtained for the volume is 231.1 Å³/cell. Its total moment is 17.57 μB per cell.

Record 8
A plane-wave DFT calculation with PBE was carried out for a relaxed Pr6CdSi2S14 crystal.

Geometry as CIF:
```
data_Pr6CdSi2S14
_space_group_name_H-M_alt 'P 3'
_space_group_IT_number 143
_space_group_name_Hall 'P 3'
_cell_length_a 10.3461
_cell_length_b 10.3461
_cell_length_c 5.7523
_cell_angle_alpha 90.00
_cell_angle_beta 90.00
_cell_angle_gamma 120.00
loop_
_atom_site_label
_atom_site_type_symbol
_atom_site_fract_x
_atom_site_fract_y
_atom_site_fract_z
Pr1 Pr 0.0242 0.5690 0.0000
Pr2 Pr 0.3087 0.0978 0.4950
Cd1 Cd 0.6667 0.3333 0.7546
Si1 Si 0.0000 0.0000 0.9068
Si2 Si 0.3333 0.6667 0.4142
S1 S 0.0000 0.0000 0.2738
S2 S 0.0747 0.8568 0.7635
S3 S 0.1902 0.4491 0.2688
S4 S 0.3333 0.6667 0.7805
S5 S 0.4118 0.1632 0.0040
S6 S 0.4982 0.4205 0.5156
```

The calculation puts the electronic total energy at -5.874 eV per atom. The value obtained for the volume is 533.2 Å³/cell. Its uncorrected formation energy is -1.60 eV/atom. Its total moment is 0.00 μB per cell.

Record 9
A plane-wave DFT calculation with PBE was carried out for a relaxed LaTb12Er3 crystal.

Geometry as CIF:
```
data_LaTb12Er3
_space_group_name_H-M_alt 'P 4/m m m'
_space_group_IT_number 123
_space_group_name_Hall '-P 4 2'
_cell_length_a 5.0390
_cell_length_b 5.0390
_cell_length_c 20.1675
_cell_angle_alpha 90.00
_cell_angle_beta 90.00
_cell_angle_gamma 90.00
loop_
_atom_site_label
_atom_site_type_symbol
_atom_site_fract_x
_atom_site_fract_y
_atom_site_fract_z
La1 La 0.0000 0.0000 0.0000
Tb1 Tb 0.0000 0.5000 0.1285
Tb2 Tb 0.0000 0.5000 0.3761
Tb3 Tb 0.5000 0.5000 0.0000
Tb4 Tb 0.5000 0.5000 0.2531
Tb5 Tb 0.5000 0.5000 0.5000
Er1 Er 0.0000 0.0000 0.2517
Er2 Er 0.0000 0.0000 0.5000
```

The calculation puts the electronic total energy at -4.615 eV per atom. The value obtained for the volume is 512.1 Å³/cell. Its total moment is 0.00 μB per cell.

Record 10
A plane-wave DFT calculation with PBE was carried out for a relaxed YHf2Tl2Te6 crystal.

Geometry as CIF:
```
data_YHf2Tl2Te6
_space_group_name_H-M_alt 'C 1 2/m 1'
_space_group_IT_number 12
_space_group_name_Hall '-C 2y'
_cell_length_a 7.2108
_cell_length_b 12.5057
_cell_length_c 8.7143
_cell_angle_alpha 90.00
_cell_angle_beta 105.23
_cell_angle_gamma 90.00
loop_
_atom_site_label
_atom_site_type_symbol
_atom_site_fract_x
_atom_site_fract_y
_atom_site_fract_z
Y1 Y 0.0000 0.0000 0.0000
Hf1 Hf 0.0000 0.3319 0.0000
Tl1 Tl 0.0000 0.1588 0.5000
Te1 Te 0.2125 0.5000 0.2068
Te2 Te 0.2413 0.1743 0.2082
```

The calculation puts the electronic total energy at -5.354 eV per atom. The value obtained for the volume is 758.2 Å³/cell. Its uncorrected formation energy is -0.81 eV/atom. Its total moment is 0.00 μB per cell.